## TbCoO3 (PBE+U)

Data for crystalline TbCoO3 at its relaxed geometry.

a b c (Å): 5.4617 8.3541 5.5347
angles (deg): 90.00 90.00 90.00
Space group Pnma (No. 62)
Unique sites:
Tb1 0.0000 0.0000 0.0000 [4 per cell]
Co1 0.0114 0.2500 0.4790 [4 per cell]
O1 0.1412 0.0851 0.6419 [8 per cell]
O2 0.1523 0.2500 0.1465 [4 per cell]

Computed properties:
For the raw total energy, the calculation gives -6.992 eV/atom.